Record 1
# CaPrGa4 | Alexandria | PBE-GGA | optimized geometry
# ΔE to the lowest computed polymorph ... 0.43 eV/f.u.
# Total moment ... 0.0 μB/cell
# N(E_F) ... 12.8 states/eV/cell
# ΔE_f ... -0.49 eV per atom
data_CaPrGa4
_cell_length_a 7.980
_cell_length_b 7.980
_cell_length_c 7.980
_cell_angle_alpha 90.00
_cell_angle_beta 90.00
_cell_angle_gamma 90.00
_symmetry_space_group_name_H-M 'F -4 3 m'
_symmetry_Int_Tables_number 216
_symmetry_space_group_name_Hall 'F -4 2 3'
loop_
_atom_site_label
_atom_site_type_symbol
_atom_site_fract_x
_atom_site_fract_y
_atom_site_fract_z
Ca1 Ca 0.000 0.000 0.000
Pr1 Pr 0.250 0.250 0.750
Ga1 Ga 0.125 0.125 0.375



Record 2
# CaPr5Ga6 | Alexandria | PBE-GGA | optimized geometry
# Total moment ... 0.0 μB/cell
# N(E_F) ... 13.7 states/eV/cell
# ΔE_f ... -0.53 eV per atom
data_CaPr5Ga6
_cell_length_a 5.233
_cell_length_b 7.456
_cell_length_c 15.834
_cell_angle_alpha 90.00
_cell_angle_beta 90.00
_cell_angle_gamma 90.00
_symmetry_space_group_name_H-M 'I m m m'
_symmetry_Int_Tables_number 71
_symmetry_space_group_name_Hall '-I 2 2'
loop_
_atom_site_label
_atom_site_type_symbol
_atom_site_fract_x
_atom_site_fract_y
_atom_site_fract_z
Ca1 Ca 0.000 0.000 0.000
Pr1 Pr 0.000 0.000 0.329
Pr2 Pr 0.000 0.500 0.000
Pr3 Pr 0.000 0.500 0.341
Ga1 Ga 0.000 0.246 0.500
Ga2 Ga 0.000 0.252 0.166



Record 3
# CaPr2Ga4 | Alexandria | PBE-GGA | optimized geometry
# Total moment ... 0.4 μB/cell
# N(E_F) ... 11.4 states/eV/cell
# ΔE_f ... -0.54 eV per atom
data_CaPr2Ga4
_cell_length_a 4.218
_cell_length_b 4.522
_cell_length_c 18.787
_cell_angle_alpha 90.00
_cell_angle_beta 90.00
_cell_angle_gamma 90.00
_symmetry_space_group_name_H-M 'I m m m'
_symmetry_Int_Tables_number 71
_symmetry_space_group_name_Hall '-I 2 2'
loop_
_atom_site_label
_atom_site_type_symbol
_atom_site_fract_x
_atom_site_fract_y
_atom_site_fract_z
Ca1 Ca 0.000 0.000 0.000
Pr1 Pr 0.000 0.500 0.316
Ga1 Ga 0.000 0.000 0.435
Ga2 Ga 0.000 0.500 0.144



Record 4
# CaPrGa4 | Alexandria | PBE-GGA | optimized geometry
# ΔE to the lowest computed polymorph ... 0.00 eV/f.u.
# Total moment ... 0.0 μB/cell
# N(E_F) ... 7.6 states/eV/cell
# ΔE_f ... -0.56 eV per atom
data_CaPrGa4
_cell_length_a 4.288
_cell_length_b 4.288
_cell_length_c 15.091
_cell_angle_alpha 90.00
_cell_angle_beta 90.00
_cell_angle_gamma 90.00
_symmetry_space_group_name_H-M 'I -4 m 2'
_symmetry_Int_Tables_number 119
_symmetry_space_group_name_Hall 'I -4 -2'
loop_
_atom_site_label
_atom_site_type_symbol
_atom_site_fract_x
_atom_site_fract_y
_atom_site_fract_z
Ca1 Ca 0.000 0.000 0.000
Pr1 Pr 0.000 0.500 0.250
Ga1 Ga 0.000 0.000 0.417
Ga2 Ga 0.000 0.500 0.667



Record 5
# Ca2PrGa4 | Alexandria | PBE-GGA | optimized geometry
# Total moment ... 0.0 μB/cell
# N(E_F) ... 10.8 states/eV/cell
# ΔE_f ... -0.56 eV per atom
data_Ca2PrGa4
_cell_length_a 4.277
_cell_length_b 4.306
_cell_length_c 18.992
_cell_angle_alpha 90.00
_cell_angle_beta 90.00
_cell_angle_gamma 90.00
_symmetry_space_group_name_H-M 'I m m m'
_symmetry_Int_Tables_number 71
_symmetry_space_group_name_Hall '-I 2 2'
loop_
_atom_site_label
_atom_site_type_symbol
_atom_site_fract_x
_atom_site_fract_y
_atom_site_fract_z
Ca1 Ca 0.000 0.000 0.187
Pr1 Pr 0.000 0.500 0.000
Ga1 Ga 0.000 0.000 0.360
Ga2 Ga 0.000 0.500 0.434



Record 6
# CaPr5Ga4 | Alexandria | PBE-GGA | optimized geometry
# Total moment ... 0.0 μB/cell
# N(E_F) ... 19.8 states/eV/cell
# ΔE_f ... -0.25 eV per atom
data_CaPr5Ga4
_cell_length_a 8.030
_cell_length_b 9.013
_cell_length_c 8.397
_cell_angle_alpha 90.00
_cell_angle_beta 90.00
_cell_angle_gamma 90.00
_symmetry_space_group_name_H-M 'P m m n'
_symmetry_Int_Tables_number 59
loop_
_symmetry_equiv_pos_as_xyz
'x,y,z'
'-x,-y,-z'
'-x+1/2,-y+1/2,z'
'x+1/2,y+1/2,-z'
'x+1/2,-y,-z'
'-x+1/2,y,z'
'-x,y+1/2,-z'
'x,-y+1/2,z'
loop_
_atom_site_label
_atom_site_type_symbol
_atom_site_fract_x
_atom_site_fract_y
_atom_site_fract_z
Ca1 Ca 0.250 0.250 0.078
Pr1 Pr 0.000 0.049 0.733
Pr2 Pr 0.250 0.750 0.639
Ga1 Ga 0.098 0.250 0.442
Ga2 Ga 0.250 0.602 0.985



Record 7
# CaPr4Ga5 | Alexandria | PBE-GGA | optimized geometry
# Total moment ... 0.0 μB/cell
# N(E_F) ... 5.9 states/eV/cell
# ΔE_f ... -0.52 eV per atom
data_CaPr4Ga5
_cell_length_a 3.704
_cell_length_b 3.704
_cell_length_c 18.723
_cell_angle_alpha 90.00
_cell_angle_beta 90.00
_cell_angle_gamma 90.00
_symmetry_space_group_name_H-M 'P 4/m m m'
_symmetry_Int_Tables_number 123
_symmetry_space_group_name_Hall '-P 4 2'
loop_
_atom_site_label
_atom_site_type_symbol
_atom_site_fract_x
_atom_site_fract_y
_atom_site_fract_z
Ca1 Ca 0.000 0.000 0.000
Pr1 Pr 0.000 0.000 0.197
Pr2 Pr 0.000 0.000 0.400
Ga1 Ga 0.500 0.500 0.097
Ga2 Ga 0.500 0.500 0.300
Ga3 Ga 0.500 0.500 0.500



Record 8
# Ca3PrGa2 | Alexandria | PBE-GGA | optimized geometry
# Total moment ... 0.0 μB/cell
# N(E_F) ... 12.0 states/eV/cell
# ΔE_f ... -0.36 eV per atom
data_Ca3PrGa2
_cell_length_a 5.063
_cell_length_b 9.561
_cell_length_c 7.270
_cell_angle_alpha 90.00
_cell_angle_beta 90.00
_cell_angle_gamma 90.00
_symmetry_space_group_name_H-M 'P m c 21'
_symmetry_Int_Tables_number 26
loop_
_symmetry_equiv_pos_as_xyz
'x,y,z'
'-x,-y,z+1/2'
'-x,y,z'
'x,-y,z+1/2'
loop_
_atom_site_label
_atom_site_type_symbol
_atom_site_fract_x
_atom_site_fract_y
_atom_site_fract_z
Ca1 Ca 0.000 0.068 0.000
Ca2 Ca 0.000 0.313 0.366
Ca3 Ca 0.500 0.175 0.688
Pr1 Pr 0.500 0.440 0.053
Ga1 Ga 0.000 0.368 0.797
Ga2 Ga 0.500 0.146 0.252



Record 9
# Ca3PrGa4 | Alexandria | PBE-GGA | optimized geometry
# Total moment ... 0.0 μB/cell
# N(E_F) ... 8.3 states/eV/cell
# ΔE_f ... -0.47 eV per atom
data_Ca3PrGa4
_cell_length_a 10.395
_cell_length_b 7.417
_cell_length_c 5.197
_cell_angle_alpha 90.00
_cell_angle_beta 90.00
_cell_angle_gamma 90.00
_symmetry_space_group_name_H-M 'P m m a'
_symmetry_Int_Tables_number 51
loop_
_symmetry_equiv_pos_as_xyz
'x,y,z'
'-x,-y,-z'
'-x+1/2,-y,z'
'x+1/2,y,-z'
'x+1/2,-y,-z'
'-x+1/2,y,z'
'-x,y,-z'
'x,-y,z'
loop_
_atom_site_label
_atom_site_type_symbol
_atom_site_fract_x
_atom_site_fract_y
_atom_site_fract_z
Ca1 Ca 0.000 0.000 0.000
Ca2 Ca 0.250 0.000 0.499
Ca3 Ca 0.250 0.500 0.500
Pr1 Pr 0.000 0.500 0.000
Ga1 Ga 0.000 0.245 0.500
Ga2 Ga 0.250 0.245 0.999



Record 10
# CaPr3Ga3 | Alexandria | PBE-GGA | optimized geometry
# Total moment ... 0.0 μB/cell
# N(E_F) ... 21.9 states/eV/cell
# ΔE_f ... -0.41 eV per atom
data_CaPr3Ga3
_cell_length_a 10.419
_cell_length_b 10.584
_cell_length_c 7.223
_cell_angle_alpha 90.00
_cell_angle_beta 90.00
_cell_angle_gamma 90.00
_symmetry_space_group_name_H-M 'C m m m'
_symmetry_Int_Tables_number 65
_symmetry_space_group_name_Hall '-C 2 2'
loop_
_atom_site_label
_atom_site_type_symbol
_atom_site_fract_x
_atom_site_fract_y
_atom_site_fract_z
Ca1 Ca 0.222 0.000 0.000
Pr1 Pr 0.000 0.232 0.500
Pr2 Pr 0.000 0.276 0.000
Pr3 Pr 0.243 0.500 0.500
Ga1 Ga 0.000 0.500 0.262
Ga2 Ga 0.250 0.250 0.244



Record 11
# CaPr2Ga4Pt3 | Alexandria | PBE-GGA | optimized geometry
# Total moment ... 0.0 μB/cell
# N(E_F) ... 5.3 states/eV/cell
# ΔE_f ... -0.83 eV per atom
data_CaPr2Ga4Pt3
_cell_length_a 4.324
_cell_length_b 4.324
_cell_length_c 11.378
_cell_angle_alpha 90.00
_cell_angle_beta 90.00
_cell_angle_gamma 90.00
_symmetry_space_group_name_H-M 'P -4 m 2'
_symmetry_Int_Tables_number 115
loop_
_symmetry_equiv_pos_as_xyz
'x,y,z'
'y,-x,-z'
'-x,-y,z'
'-y,x,-z'
'-x,y,z'
'-y,-x,-z'
'x,-y,z'
'y,x,-z'
loop_
_atom_site_label
_atom_site_type_symbol
_atom_site_fract_x
_atom_site_fract_y
_atom_site_fract_z
Ca1 Ca 0.000 0.000 0.000
Pr1 Pr 0.000 0.500 0.724
Ga1 Ga 0.000 0.000 0.500
Ga2 Ga 0.000 0.500 0.163
Ga3 Ga 0.500 0.500 0.500
Pt1 Pt 0.000 0.500 0.379
Pt2 Pt 0.500 0.500 0.000



Record 12
# CaPrGa2Pt2 | Alexandria | PBE-GGA | optimized geometry
# Total moment ... 0.0 μB/cell
# N(E_F) ... 2.5 states/eV/cell
# ΔE_f ... -0.94 eV per atom
data_CaPrGa2Pt2
_cell_length_a 4.4343
_cell_length_b 4.4343
_cell_length_c 7.7038
_cell_angle_alpha 90.00
_cell_angle_beta 90.00
_cell_angle_gamma 120.00
_symmetry_space_group_name_H-M 'P -3 m 1'
_symmetry_Int_Tables_number 164
_symmetry_space_group_name_Hall '-P 3 2"'
loop_
_atom_site_label
_atom_site_type_symbol
_atom_site_fract_x
_atom_site_fract_y
_atom_site_fract_z
Ca1 Ca 0.0000 0.0000 0.0000
Pr1 Pr 0.0000 0.0000 0.5000
Ga1 Ga 0.3333 0.6667 0.7584
Pt1 Pt 0.3333 0.6667 0.2540